Entry 1:
5
Lattice="5.006 0.000 0.000 0.000 5.006 0.000 0.000 0.000 6.055" Properties=species:S:1:pos:R:3 comment="CaVSb2Te PBE optimized geometry" polymorph_energy_ev_per_atom=0.0000 space_group="P4/mmm (123)" e_tot_ev_per_cell=-23.25 pbc="T T T"
Ca 0.000 0.000 0.000
V 2.503 2.503 3.027
Sb 0.000 2.503 3.027
Sb 2.503 0.000 3.027
Te 2.503 2.503 0.000

Entry 2:
4
Lattice="4.620 0.000 0.000 0.000 2.781 0.000 -1.611 0.000 4.525" Properties=species:S:1:pos:R:3 comment="AlZn2Tc PBE optimized geometry" space_group="P2/m (10)" e_tot_ev_per_cell=-16.98 e_form_kcal_per_mol_atoms=-1.84 pbc="T T T"
Al 0.000 0.000 0.000
Zn -0.805 1.390 2.262
Zn 1.504 0.000 2.262
Tc 2.310 1.390 0.000

Entry 3:
12
Lattice="4.830 0.000 0.000 -2.415 4.183 0.000 0.000 0.000 18.894" Properties=species:S:1:pos:R:3 comment="InHgPb2 PBE optimized geometry" polymorph_energy_ev_per_atom=0.0988 space_group="R3m (160)" e_tot_ev_per_cell=-30.13 e_form_kcal_per_mol_atoms=2.39 pbc="T T T"
In 0.000 0.000 0.000
In 0.000 2.788 12.596
In 2.415 1.394 6.298
Hg 0.000 0.000 15.654
Hg 0.000 2.788 9.356
Hg 2.415 1.394 3.058
Pb 0.000 0.000 4.615
Pb 0.000 0.000 7.960
Pb 0.000 2.788 1.662
Pb 0.000 2.788 17.211
Pb 2.415 1.394 10.913
Pb 2.415 1.394 14.258

Entry 4:
10
Lattice="6.535 0.000 0.000 0.000 5.973 0.000 -3.206 0.000 9.421" Properties=species:S:1:pos:R:3 comment="AcLaNd2Tm PBE optimized geometry" space_group="P2_1/m (11)" e_tot_ev_per_cell=-45.60 e_form_kcal_per_mol_atoms=1.12 pbc="T T T"
Ac -0.511 1.493 2.788
Ac 3.840 4.480 6.633
La 0.599 4.480 4.706
La 2.730 1.493 4.715
Nd -0.473 1.493 6.690
Nd 2.708 1.493 0.895
Nd 0.621 4.480 8.527
Nd 3.802 4.480 2.731
Tm 0.570 4.480 0.889
Tm 2.759 1.493 8.532

Entry 5:
4
Lattice="5.114 0.000 0.000 0.000 5.114 0.000 0.000 0.000 5.081" Properties=species:S:1:pos:R:3 comment="TbPm2Y PBE optimized geometry" polymorph_energy_ev_per_atom=0.0064 space_group="P4/mmm (123)" e_tot_ev_per_cell=-20.52 e_form_kcal_per_mol_atoms=0.43 pbc="T T T"
Tb 0.000 0.000 0.000
Pm 0.000 2.557 2.540
Pm 2.557 0.000 2.540
Y 2.557 2.557 0.000

Entry 6:
8
Lattice="5.764 0.000 0.000 0.000 3.327 0.000 -1.872 0.000 5.502" Properties=species:S:1:pos:R:3 comment="Ho2NpTaN4 PBE optimized geometry" space_group="P2/m (10)" e_tot_ev_per_cell=-78.54 pbc="T T T"
Ho 0.000 0.000 0.000
Ho 2.882 1.664 0.000
Np -0.936 1.664 2.751
Ta 1.946 0.000 2.751
N 0.108 0.000 4.041
N 1.024 1.664 1.511
N 2.868 1.664 3.991
N 3.784 0.000 1.462

Entry 7:
5
Lattice="4.973 0.000 0.000 0.000 4.973 0.000 0.000 0.000 4.910" Properties=species:S:1:pos:R:3 comment="CeY2InC PBE optimized geometry" space_group="P4/mmm (123)" e_tot_ev_per_cell=-33.02 e_form_kcal_per_mol_atoms=-10.12 pbc="T T T"
Ce 0.000 0.000 0.000
Y 0.000 2.486 2.455
Y 2.486 0.000 2.455
In 2.486 2.486 0.000
C 0.000 0.000 2.455

Entry 8:
6
Lattice="0.000 4.863 4.863 4.863 0.000 4.863 4.863 4.863 0.000" Properties=species:S:1:pos:R:3 comment="Pr4SmEu PBE optimized geometry" space_group="F-43m (216)" e_tot_ev_per_cell=-32.76 e_form_kcal_per_mol_atoms=5.20 pbc="T T T"
Pr 3.667 3.667 3.667
Pr 6.059 6.059 3.667
Pr 6.059 3.667 6.059
Pr 3.667 6.059 6.059
Sm 7.295 7.295 7.295
Eu 0.000 0.000 0.000

Entry 9:
8
Lattice="7.001 0.000 0.000 0.000 8.270 0.000 0.000 0.000 3.524" Properties=species:S:1:pos:R:3 comment="CrTeBr2 PBE optimized geometry" polymorph_energy_ev_per_atom=0.7510 space_group="Cmmm (65)" e_tot_ev_per_cell=-28.72 pbc="T T T"
Cr 0.000 0.000 0.000
Cr 3.500 4.135 0.000
Te 0.000 4.135 0.000
Te 3.500 0.000 0.000
Br 1.750 2.067 1.762
Br 1.750 6.202 1.762
Br 5.251 2.067 1.762
Br 5.251 6.202 1.762

Entry 10:
13
Lattice="2.376 1.372 9.532 -2.376 1.372 9.532 0.000 -2.743 9.532" Properties=species:S:1:pos:R:3 comment="Li3Cu8Pd2 PBE optimized geometry" space_group="R-3m (166)" e_tot_ev_per_cell=-48.94 e_form_kcal_per_mol_atoms=-0.08 pbc="T T T"
Li 0.000 0.000 0.000
Li 0.000 0.000 5.202
Li 0.000 0.000 23.393
Cu -1.200 -0.693 16.196
Cu 0.000 -1.385 12.399
Cu -1.200 0.693 12.399
Cu 0.000 0.000 7.725
Cu 0.000 0.000 20.871
Cu 1.200 -0.693 16.196
Cu 0.000 1.385 16.196
Cu 1.200 0.693 12.399
Pd 0.000 0.000 10.235
Pd 0.000 0.000 18.360

Entry 11:
4
Lattice="3.325 0.000 0.000 0.000 3.325 0.000 0.000 0.000 8.500" Properties=species:S:1:pos:R:3 comment="ScTa2Cl PBE optimized geometry" polymorph_energy_ev_per_atom=0.0224 space_group="P4mm (99)" e_tot_ev_per_cell=-32.58 pbc="T T T"
Sc 0.000 0.000 0.000
Ta 0.000 0.000 3.221
Ta 1.662 1.662 1.834
Cl 1.662 1.662 7.060

Entry 12:
8
Lattice="6.852 0.000 0.000 0.000 4.020 0.000 -2.346 0.000 6.568" Properties=species:S:1:pos:R:3 comment="Ca2NpAgS4 PBE optimized geometry" space_group="P2/m (10)" e_tot_ev_per_cell=-47.80 pbc="T T T"
Ca 0.000 0.000 0.000
Ca 3.426 2.010 0.000
Np -1.173 2.010 3.284
Ag 2.253 0.000 3.284
S -0.101 0.000 4.918
S 1.083 2.010 1.667
S 3.423 2.010 4.901
S 4.607 0.000 1.650